1.
A relaxed BeCd2Cu2 crystal, computed with PBE.

Cell lengths 6.9911, 6.9911, 3.3443 Å; angles 90.00, 90.00, 90.00 degrees
Closest atoms and distances in Å follow each position.
Positions (direct):
Be (0.0000, 0.0000, 0.0000)  4 Cd 2.62
Be (0.5000, 0.5000, 0.0000)  4 Cd 2.62
Cu (0.1372, 0.6372, 0.5000)  6 Cd 2.60-2.68, 1 Cu 2.71
Cu (0.6372, 0.8628, 0.5000)  6 Cd 2.60-2.68, 1 Cu 2.71
Cu (0.8628, 0.3628, 0.5000)  6 Cd 2.60-2.68, 1 Cu 2.71
Cu (0.3628, 0.1372, 0.5000)  6 Cd 2.60-2.68, 1 Cu 2.71
Cd (0.3386, 0.8386, 0.0000)  6 Cu 2.60-2.68, 2 Be 2.62
Cd (0.8386, 0.6614, 0.0000)  6 Cu 2.60-2.68, 2 Be 2.62
Cd (0.6614, 0.1614, 0.0000)  6 Cu 2.60-2.68, 2 Be 2.62
Cd (0.1614, 0.3386, 0.0000)  6 Cu 2.60-2.68, 2 Be 2.62

Calculated values
Total magnetic moment in μB/f.u.: 0.000
E_tot in eV per atom: -2.34
Polymorph energy (0 for the lowest one) in meV per atom: 239
DFT formation energy in eV per atom: 0.41

2.
A relaxed Be2CdCu crystal, computed with PBE.

Cell lengths 2.8607, 2.8618, 5.9617 Å; angles 90.00, 90.00, 90.00 degrees
Closest atoms and distances in Å follow each position.
Positions (direct):
Be (0.0000, 0.0000, 0.9455)  1 Be 2.33, 4 Cu 2.34
Be (0.0000, 0.0000, 0.5545)  1 Be 2.33, 4 Cu 2.34
Cu (0.5000, 0.5000, 0.7500)  8 Be 2.34
Cd (0.5000, 0.5000, 0.2500)  8 Be 2.72, 4 Cd 2.86, 2 Cu 2.98

Calculated values
Total magnetic moment in μB/f.u.: 0.000
E_tot in eV per atom: -2.97
DFT formation energy in eV per atom: 0.15

3.
A relaxed BeCd2Cu crystal, computed with PBE.

Cell lengths 4.1096, 2.9492, 5.4482 Å; angles 74.02, 90.00, 90.00 degrees
Closest atoms and distances in Å follow each position.
Positions (direct):
Be (0.5000, 0.5703, 0.7342)  2 Cu 2.35
Cu (0.0000, 0.6808, 0.5148)  2 Be 2.35
Cd (0.0000, 0.9591, 0.9521)  3 Cu 2.72-2.95, 4 Be 2.77-2.78, 2 Cd 2.95
Cd (0.5000, 0.2897, 0.2989)  3 Be 2.71-2.96, 4 Cu 2.77, 2 Cd 2.95

Calculated values
Total magnetic moment in μB/f.u.: 0.000
E_tot in eV per atom: -2.19
Polymorph energy (0 for the lowest one) in meV per atom: 91
DFT formation energy in eV per atom: 0.22

4.
A relaxed BeCd2Cu crystal, computed with PBE.

Cell lengths 4.4568, 4.4568, 4.4568 Å; angles 60.00, 60.00, 60.00 degrees
Closest atoms and distances in Å follow each position.
Positions (direct):
Be (0.0000, 0.0000, 0.0000)  8 Cd 2.73
Cu (0.5000, 0.5000, 0.5000)  8 Cd 2.73
Cd (0.2500, 0.2500, 0.2500)  4 Be 2.73, 4 Cu 2.73
Cd (0.7500, 0.7500, 0.7500)  4 Cu 2.73, 4 Be 2.73

Calculated values
Total magnetic moment in μB/f.u.: 0.000
E_tot in eV per atom: -2.15
Polymorph energy (0 for the lowest one) in meV per atom: 135
DFT formation energy in eV per atom: 0.26

5.
A relaxed BeCd2Cu crystal, computed with PBE.

Cell lengths 5.1592, 5.1592, 4.7635 Å; angles 68.51, 68.51, 32.68 degrees
Closest atoms and distances in Å follow each position.
Positions (direct):
Be (0.7781, 0.7781, 0.7601)  2 Cu 2.29
Cu (0.4635, 0.4635, 0.5016)  2 Be 2.29
Cd (0.0249, 0.0249, 0.9472)  3 Be 2.74-2.90, 4 Cu 2.82-2.87, 3 Cd 2.90-3.02
Cd (0.2335, 0.2335, 0.2911)  4 Be 2.80-2.84, 3 Cu 2.82-2.87, 6 Cd 2.90-3.09

Calculated values
Total magnetic moment in μB/f.u.: 0.000
E_tot in eV per atom: -2.21
Polymorph energy (0 for the lowest one) in meV per atom: 78
DFT formation energy in eV per atom: 0.21

6.
A relaxed Be2CdCu crystal, computed with PBE.

Cell lengths 4.8439, 4.8439, 4.8439 Å; angles 145.61, 129.26, 62.74 degrees
Closest atoms and distances in Å follow each position.
Positions (direct):
Be (0.9957, 0.9957, 0.0000)  2 Be 2.33, 2 Cu 2.39, 4 Cd 2.52
Be (0.7734, 0.2734, 0.5000)  2 Be 2.33, 4 Cu 2.55
Cu (0.2265, 0.7265, 0.5000)  6 Be 2.39-2.55
Cd (0.5044, 0.5044, 0.0000)  8 Be 2.52-2.82, 4 Cu 2.71-2.77

Calculated values
Total magnetic moment in μB/f.u.: 0.000
E_tot in eV per atom: -2.87
DFT formation energy in eV per atom: 0.25

7.
A relaxed Be2CdCu crystal, computed with PBE.

Cell lengths 2.8538, 2.8538, 6.0025 Å; angles 90.00, 90.00, 90.00 degrees
Closest atoms and distances in Å follow each position.
Positions (direct):
Be (0.0000, 0.0000, 0.0061)  4 Be 2.31, 4 Cu 2.32
Be (0.5000, 0.5000, 0.1934)  1 Cu 2.28, 4 Be 2.31
Cu (0.5000, 0.5000, 0.8142)  5 Be 2.28-2.32
Cd (0.0000, 0.0000, 0.4864)  5 Be 2.68-2.88, 4 Cu 2.82, 4 Cd 2.85

Calculated values
Total magnetic moment in μB/f.u.: 0.000
E_tot in eV per atom: -2.95
DFT formation energy in eV per atom: 0.17

8.
A relaxed Be2CdCu crystal, computed with PBE.

Cell lengths 3.7792, 2.6953, 5.0960 Å; angles 74.72, 90.00, 90.00 degrees
Closest atoms and distances in Å follow each position.
Positions (direct):
Be (0.0000, 0.1887, 0.9863)  2 Be 2.19, 4 Cu 2.43-2.45
Be (0.5000, 0.0844, 0.2129)  2 Be 2.19, 2 Cu 2.29-2.30
Cu (0.5000, 0.7705, 0.8349)  6 Be 2.29-2.45
Cd (0.0000, 0.4564, 0.4659)  7 Be 2.56-2.72, 2 Cd 2.70

Calculated values
Total magnetic moment in μB/f.u.: 0.000
E_tot in eV per atom: -2.89
DFT formation energy in eV per atom: 0.22